1.
Here is crystalline Cd2ReHg at its relaxed geometry from Alexandria. Energies are from PBE.

The structure in POSCAR format:
```
Cd2ReHg
1.0
2.899 0.000 0.000
0.000 4.912 0.000
0.000 0.000 5.396
Cd Re Hg
2 1 1
Direct
0.000 0.000 0.000
0.000 0.500 0.333
0.500 0.000 0.494
0.500 0.500 0.807
```

Output
SG: Pmm2

2.
Here is crystalline Cd2ReHg at its relaxed geometry from Alexandria. Energies are from PBE.

The structure in POSCAR format:
```
Cd2ReHg
1.0
1.468 -2.466 0.000
1.468 2.466 0.000
0.000 0.000 11.210
Cd Re Hg
2 1 1
Direct
0.000 0.000 0.000
0.500 0.500 0.273
0.500 0.500 0.777
0.000 0.000 0.548
```

Output
SG: Cmm2

3.
Here is crystalline CdReHg4 at its relaxed geometry from Alexandria. Energies are from PBE.

The structure in POSCAR format:
```
CdReHg4
1.0
0.000 4.072 4.072
4.072 0.000 4.072
4.072 4.072 0.000
Cd Re Hg
1 1 4
Direct
0.000 0.000 0.000
0.250 0.250 0.250
0.126 0.625 0.625
0.625 0.126 0.625
0.625 0.625 0.126
0.625 0.625 0.625
```

Output
SG: F-43m

| no. | VASP energy (eV/atom) | E_form (eV per atom) |
| --- | --- | --- |
| 1 | -3.048 | 0.60 |
| 2 | -3.096 | 0.55 |
| 3 | -1.424 | 1.00 |